Entry 1:
Density functional theory data (GGA-PBE) for crystalline NaDySO at its relaxed geometry.

Lattice parameters (Å, degrees): 4.271 7.313 6.030 90.00 90.00 90.00
Fractional positions:
Dy: 0.500 0.858 0.039
Dy: 0.500 0.142 0.539
Na: 0.000 0.298 0.112
Na: 0.000 0.702 0.612
O: 0.500 0.120 0.189
O: 0.500 0.880 0.689
S: 0.000 0.678 0.152
S: 0.000 0.322 0.652

Summary:
- raw total energy (eV for the cell shown) = -47.264

Entry 2:
Density functional theory data (GGA-PBE) for crystalline NaDySO at its relaxed geometry.

Lattice parameters (Å, degrees): 6.779 7.263 6.276 90.00 103.99 90.00
Fractional positions:
Dy: 0.541 0.624 0.235
Dy: 0.459 0.124 0.265
Dy: 0.541 0.876 0.735
Dy: 0.459 0.376 0.765
Na: 0.913 0.251 0.004
Na: 0.087 0.751 0.496
Na: 0.913 0.249 0.504
Na: 0.087 0.749 0.996
O: 0.617 0.347 0.118
O: 0.383 0.847 0.382
O: 0.617 0.153 0.618
O: 0.383 0.653 0.882
S: 0.783 0.915 0.167
S: 0.217 0.415 0.333
S: 0.783 0.585 0.667
S: 0.217 0.085 0.833

Summary:
- raw total energy (eV for the cell shown) = -97.104

Q: Look up the raw total energy of the first one.
A: -47.264 eV for the cell shown

Q: Among the records above, which one has the lowest raw total energy?
A: number 2

Q: The highest raw total energy belongs to which entry?
A: number 1

Q: What is the raw total energy in the second record?
A: -97.104 eV for the cell shown